No. 1
Here is La3Tb2Dy6Sc after structural relaxation from Alexandria. Energies are from PBE-GGA.

Output
Space-group type: C2/m
Crystal system: monoclinic
Formation enthalpy at 0 K, eV/atom: 0.03
Total moment, μB per atom: 0.000

Unit cell a=6.191 b=6.191 c=11.835 alpha=95.01 beta=95.01 gamma=120.03
Sites, in units of the cell vectors:
La: 0.000 0.000 0.000
La: 0.333 0.667 0.000
La: 0.667 0.333 0.000
Tb: 0.166 0.834 0.500
Tb: 0.834 0.166 0.500
Dy: 0.090 0.420 0.258
Dy: 0.249 0.249 0.742
Dy: 0.420 0.090 0.258
Dy: 0.580 0.910 0.742
Dy: 0.751 0.751 0.258
Dy: 0.910 0.580 0.742
Sc: 0.500 0.500 0.500

No. 2
Here is CoBi2Pb after structural relaxation from Alexandria. Energies are from PBE-GGA.

Output
Space-group type: R-3m
Crystal system: trigonal
Formation enthalpy at 0 K, eV/atom: 0.61
Total moment, μB per atom: 0.457

Unit cell a=11.353 b=11.353 c=11.353 alpha=17.29 beta=17.29 gamma=17.29
Sites, in units of the cell vectors:
Co: 0.000 0.000 0.000
Bi: 0.077 0.077 0.077
Bi: 0.923 0.923 0.923
Pb: 0.500 0.500 0.500

No. 3
Here is PuRhO4 after structural relaxation from Alexandria. Energies are from PBE-GGA.

Output
Space-group type: Imma
E_form (uncorrected), meV per atom: -1825
Crystal system: orthorhombic
Total moment, μB per atom: 0.499

Unit cell a=6.295 b=6.295 c=6.295 alpha=120.74 beta=112.38 gamma=96.20
Sites, in units of the cell vectors:
Pu: 0.000 0.000 0.000
Pu: 0.500 0.000 0.500
Rh: 0.500 0.000 0.000
Rh: 0.500 0.500 0.500
O: 0.255 0.217 0.463
O: 0.255 0.792 0.037
O: 0.306 0.250 0.056
O: 0.306 0.750 0.556
O: 0.694 0.250 0.444
O: 0.694 0.750 0.944
O: 0.745 0.208 0.963
O: 0.745 0.783 0.537